! ScZnPbO4 (PBE, optimized geometry); values from VASP
&SYSTEM
  ibrav = 0, nat = 14, ntyp = 4
/
ATOMIC_SPECIES
Pb 207.20 Pb.upf
O 16.00 O.upf
Zn 65.41 Zn.upf
Sc 44.96 Sc.upf
ATOMIC_POSITIONS angstrom
Pb 0.000 0.000 0.000
Pb 3.233 3.744 2.734
O 4.911 4.848 1.525
O 6.465 5.682 3.946
O 8.019 2.641 3.942
O 6.465 1.807 1.522
O 3.233 1.745 1.476
O 9.698 5.744 3.991
O 4.911 2.641 3.942
O 8.019 4.848 1.525
Zn 6.465 3.698 4.714
Zn 6.465 3.790 0.753
Sc 4.849 0.913 2.681
Sc 1.616 0.913 2.681
CELL_PARAMETERS angstrom
6.465 0.000 0.000
3.233 5.663 0.106
3.233 1.826 5.361
! Final energy (eV per atom): -6.296
! Symmetry: Imma
! Total magnetic moment (μB per atom): 0.00
! DOS(E_F) (states/eV/f.u.): 2.291